Pt2Au5 | PBE | relaxed

Its total energy is -110.26 eV/cell. As for the formation energy: 0.1291 eV/atom.

The space group is Ibam (No. 72) and the conventional cell measures 6.890, 12.881 and 5.706 Å, with angles of 90.00, 90.00 and 90.00 degrees. Symmetry generates all atoms from Pt at (0.221, 0.118, 0.000), Au at (0.000, 0.268, 0.250), Au at (0.000, 0.500, 0.250) and Au at (0.180, 0.097, 0.500).

---

Y2ZrW | PBE | relaxed

Its total energy is -65.97 eV/cell. The energy relative to the lowest polymorph listed for this composition comes out at 0.131 eV per atom. As for the formation energy: 0.3606 eV/atom.

The space group is Cmm2 (No. 35) and the conventional cell measures 3.674, 5.238 and 10.340 Å, with angles of 90.00, 90.00 and 90.00 degrees. Symmetry generates all atoms from Y at (0.000, 0.000, 0.000), Y at (0.000, 0.500, 0.313), Zr at (0.000, 0.000, 0.586) and W at (0.000, 0.500, 0.780).

---

TiNb2Cu | PBE | relaxed

Its total energy is -32.09 eV/cell. The energy relative to the lowest polymorph listed for this composition comes out at 0.000 eV per atom. As for the formation energy: 0.0106 eV/atom.

The space group is P4mm (No. 99) and the conventional cell measures 3.315, 3.315 and 6.012 Å, with angles of 90.00, 90.00 and 90.00 degrees. Symmetry generates all atoms from Ti at (0.000, 0.000, 0.000), Nb at (0.000, 0.000, 0.504), Nb at (0.500, 0.500, 0.252) and Cu at (0.500, 0.500, 0.757).

---

SmPuTl2O8 | PBE | relaxed

Its total energy is -170.36 eV/cell. As for the raw formation energy: -1.81 eV per atom.

The space group is Cmmm (No. 65) and the conventional cell measures 7.278, 7.583 and 6.891 Å, with angles of 90.00, 90.00 and 90.00 degrees. Symmetry generates all atoms from Sm at (0.000, 0.000, 0.000), Pu at (0.000, 0.000, 0.500), Tl at (0.000, 0.500, 0.250), O at (0.000, 0.173, 0.287), O at (0.191, 0.500, 0.000) and O at (0.204, 0.500, 0.500).

---

no.,calculated volume (A^3/atom)
1,18.09
2,24.87
3,16.52
4,15.85